(1)
Compound: Pm2OsPd
Source: Alexandria
Functional: GGA-PBE
Structure: relaxed

Summary:
Calculated density (g/cm3): 11.0
Formation energy from the elements (eV per atom): -0.363
Energy above the most stable polymorph in this dataset (eV per atom): 0.031
Magnetization (μB per cell): 0.00

a = 7.0802 Å, b = 7.0802 Å, c = 7.0802 Å
α = 90.00°, β = 90.00°, γ = 90.00°
Fractional coordinates of all 16 atoms:
1 Pm 0.2500 0.2500 0.2500
2 Pm 0.2500 0.2500 0.7500
3 Pm 0.2500 0.7500 0.2500
4 Pm 0.2500 0.7500 0.7500
5 Pm 0.7500 0.2500 0.2500
6 Pm 0.7500 0.2500 0.7500
7 Pm 0.7500 0.7500 0.2500
8 Pm 0.7500 0.7500 0.7500
9 Os 0.0000 0.0000 0.0000
10 Os 0.0000 0.5000 0.5000
11 Os 0.5000 0.0000 0.5000
12 Os 0.5000 0.5000 0.0000
13 Pd 0.0000 0.0000 0.5000
14 Pd 0.0000 0.5000 0.0000
15 Pd 0.5000 0.0000 0.0000
16 Pd 0.5000 0.5000 0.5000

(2)
Compound: Pm8OsPd2
Source: Alexandria
Functional: GGA-PBE
Structure: relaxed

Summary:
Calculated density (g/cm3): 8.0
Formation energy from the elements (eV per atom): -0.223
Magnetization (μB per cell): 0.00

a = 7.8009 Å, b = 7.8009 Å, c = 6.3477 Å
α = 102.04°, β = 102.04°, γ = 113.85°
Fractional coordinates of all 11 atoms:
1 Pm 0.0000 0.0000 0.0000
2 Pm 0.0091 0.2649 0.5492
3 Pm 0.1500 0.5462 0.1768
4 Pm 0.2649 0.0091 0.5492
5 Pm 0.4388 0.6961 0.7797
6 Pm 0.5462 0.1500 0.1768
7 Pm 0.6961 0.4388 0.7797
8 Pm 0.7025 0.7025 0.3615
9 Os 0.3536 0.3536 0.3721
10 Pd 0.0449 0.6694 0.6793
11 Pd 0.6694 0.0449 0.6793

(3)
Compound: Pm12OsPd6
Source: Alexandria
Functional: GGA-PBE
Structure: relaxed

Summary:
Calculated density (g/cm3): 7.4
Formation energy from the elements (eV per atom): -0.431
Magnetization (μB per cell): 0.00

a = 8.4051 Å, b = 8.4051 Å, c = 8.4051 Å
α = 98.07°, β = 98.07°, γ = 98.07°
Fractional coordinates of all 19 atoms:
1 Pm 0.0390 0.6799 0.9240
2 Pm 0.0760 0.9610 0.3201
3 Pm 0.1823 0.4171 0.5794
4 Pm 0.3201 0.0760 0.9610
5 Pm 0.4171 0.5794 0.1823
6 Pm 0.4206 0.8177 0.5829
7 Pm 0.5794 0.1823 0.4171
8 Pm 0.5829 0.4206 0.8177
9 Pm 0.6799 0.9240 0.0390
10 Pm 0.8177 0.5829 0.4206
11 Pm 0.9240 0.0390 0.6799
12 Pm 0.9610 0.3201 0.0760
13 Os 0.0000 0.0000 0.0000
14 Pd 0.1309 0.6202 0.3138
15 Pd 0.3138 0.1309 0.6202
16 Pd 0.3798 0.6862 0.8691
17 Pd 0.6202 0.3138 0.1309
18 Pd 0.6862 0.8691 0.3798
19 Pd 0.8691 0.3798 0.6862

(4)
Compound: PmPrOsPd
Source: Alexandria
Functional: GGA-PBE
Structure: relaxed

Summary:
Calculated density (g/cm3): 10.7
Formation energy from the elements (eV per atom): -0.315
Magnetization (μB per cell): 0.00

a = 7.1320 Å, b = 7.1320 Å, c = 7.1320 Å
α = 90.00°, β = 90.00°, γ = 90.00°
Fractional coordinates of all 16 atoms:
1 Pm 0.0000 0.0000 0.0000
2 Pm 0.0000 0.5000 0.5000
3 Pm 0.5000 0.0000 0.5000
4 Pm 0.5000 0.5000 0.0000
5 Pr 0.0000 0.0000 0.5000
6 Pr 0.0000 0.5000 0.0000
7 Pr 0.5000 0.0000 0.0000
8 Pr 0.5000 0.5000 0.5000
9 Os 0.2500 0.2500 0.2500
10 Os 0.2500 0.7500 0.7500
11 Os 0.7500 0.2500 0.7500
12 Os 0.7500 0.7500 0.2500
13 Pd 0.2500 0.2500 0.7500
14 Pd 0.2500 0.7500 0.2500
15 Pd 0.7500 0.2500 0.2500
16 Pd 0.7500 0.7500 0.7500

(5)
Compound: PmSi2OsPd
Source: Alexandria
Functional: GGA-PBE
Structure: relaxed

Summary:
Calculated density (g/cm3): 9.5
Formation energy from raw total energies (kJ/mol of formula units): -385
Magnetization (μB per cell): 0.00

a = 4.1198 Å, b = 4.1198 Å, c = 10.2183 Å
α = 90.00°, β = 90.00°, γ = 90.00°
Fractional coordinates of all 10 atoms:
1 Pm 0.0000 0.0000 0.0000
2 Pm 0.5000 0.5000 0.5000
3 Si 0.0000 0.0000 0.3775
4 Si 0.0000 0.0000 0.6225
5 Si 0.5000 0.5000 0.1225
6 Si 0.5000 0.5000 0.8775
7 Os 0.0000 0.5000 0.2500
8 Os 0.5000 0.0000 0.7500
9 Pd 0.0000 0.5000 0.7500
10 Pd 0.5000 0.0000 0.2500

(6)
Compound: PmSmOsPd
Source: Alexandria
Functional: GGA-PBE
Structure: relaxed

Summary:
Calculated density (g/cm3): 11.2
Formation energy from the elements (eV per atom): -0.379
Magnetization (μB per cell): 0.00

a = 7.0620 Å, b = 7.0620 Å, c = 7.0620 Å
α = 90.00°, β = 90.00°, γ = 90.00°
Fractional coordinates of all 16 atoms:
1 Pm 0.0000 0.0000 0.0000
2 Pm 0.0000 0.5000 0.5000
3 Pm 0.5000 0.0000 0.5000
4 Pm 0.5000 0.5000 0.0000
5 Sm 0.0000 0.0000 0.5000
6 Sm 0.0000 0.5000 0.0000
7 Sm 0.5000 0.0000 0.0000
8 Sm 0.5000 0.5000 0.5000
9 Os 0.2500 0.2500 0.2500
10 Os 0.2500 0.7500 0.7500
11 Os 0.7500 0.2500 0.7500
12 Os 0.7500 0.7500 0.2500
13 Pd 0.2500 0.2500 0.7500
14 Pd 0.2500 0.7500 0.2500
15 Pd 0.7500 0.2500 0.2500
16 Pd 0.7500 0.7500 0.7500

(7)
Compound: TbPmOsPd
Source: Alexandria
Functional: GGA-PBE
Structure: relaxed

Summary:
Calculated density (g/cm3): 11.6
Formation energy from the elements (eV per atom): -0.433
Magnetization (μB per cell): 0.00

a = 7.0043 Å, b = 7.0043 Å, c = 7.0043 Å
α = 90.00°, β = 90.00°, γ = 90.00°
Fractional coordinates of all 16 atoms:
1 Tb 0.0000 0.0000 0.0000
2 Tb 0.0000 0.5000 0.5000
3 Tb 0.5000 0.0000 0.5000
4 Tb 0.5000 0.5000 0.0000
5 Pm 0.0000 0.0000 0.5000
6 Pm 0.0000 0.5000 0.0000
7 Pm 0.5000 0.0000 0.0000
8 Pm 0.5000 0.5000 0.5000
9 Os 0.2500 0.2500 0.2500
10 Os 0.2500 0.7500 0.7500
11 Os 0.7500 0.2500 0.7500
12 Os 0.7500 0.7500 0.2500
13 Pd 0.2500 0.2500 0.7500
14 Pd 0.2500 0.7500 0.2500
15 Pd 0.7500 0.2500 0.2500
16 Pd 0.7500 0.7500 0.7500

(8)
Compound: PmThOsPd
Source: Alexandria
Functional: GGA-PBE
Structure: relaxed

Summary:
Calculated density (g/cm3): 12.3
Formation energy from the elements (eV per atom): -0.430
Magnetization (μB per cell): 0.00

a = 7.1354 Å, b = 7.1354 Å, c = 7.1354 Å
α = 90.00°, β = 90.00°, γ = 90.00°
Fractional coordinates of all 16 atoms:
1 Pm 0.0000 0.0000 0.0000
2 Pm 0.0000 0.5000 0.5000
3 Pm 0.5000 0.0000 0.5000
4 Pm 0.5000 0.5000 0.0000
5 Th 0.0000 0.0000 0.5000
6 Th 0.0000 0.5000 0.0000
7 Th 0.5000 0.0000 0.0000
8 Th 0.5000 0.5000 0.5000
9 Os 0.2500 0.2500 0.7500
10 Os 0.2500 0.7500 0.2500
11 Os 0.7500 0.2500 0.2500
12 Os 0.7500 0.7500 0.7500
13 Pd 0.2500 0.2500 0.2500
14 Pd 0.2500 0.7500 0.7500
15 Pd 0.7500 0.2500 0.7500
16 Pd 0.7500 0.7500 0.2500

(9)
Compound: PmTmOsPd
Source: Alexandria
Functional: GGA-PBE
Structure: relaxed

Summary:
Calculated density (g/cm3): 12.1
Formation energy from the elements (eV per atom): -0.475
Magnetization (μB per cell): 0.00

a = 6.9442 Å, b = 6.9442 Å, c = 6.9442 Å
α = 90.00°, β = 90.00°, γ = 90.00°
Fractional coordinates of all 16 atoms:
1 Pm 0.0000 0.0000 0.0000
2 Pm 0.0000 0.5000 0.5000
3 Pm 0.5000 0.0000 0.5000
4 Pm 0.5000 0.5000 0.0000
5 Tm 0.0000 0.0000 0.5000
6 Tm 0.0000 0.5000 0.0000
7 Tm 0.5000 0.0000 0.0000
8 Tm 0.5000 0.5000 0.5000
9 Os 0.2500 0.2500 0.7500
10 Os 0.2500 0.7500 0.2500
11 Os 0.7500 0.2500 0.2500
12 Os 0.7500 0.7500 0.7500
13 Pd 0.2500 0.2500 0.2500
14 Pd 0.2500 0.7500 0.7500
15 Pd 0.7500 0.2500 0.7500
16 Pd 0.7500 0.7500 0.2500

(10)
Compound: PmZrOsPd
Source: Alexandria
Functional: GGA-PBE
Structure: relaxed

Summary:
Calculated density (g/cm3): 11.0
Formation energy from the elements (eV per atom): -0.390
Magnetization (μB per cell): 0.00

a = 6.8510 Å, b = 6.8510 Å, c = 6.8510 Å
α = 90.00°, β = 90.00°, γ = 90.00°
Fractional coordinates of all 16 atoms:
1 Pm 0.0000 0.0000 0.0000
2 Pm 0.0000 0.5000 0.5000
3 Pm 0.5000 0.0000 0.5000
4 Pm 0.5000 0.5000 0.0000
5 Zr 0.0000 0.0000 0.5000
6 Zr 0.0000 0.5000 0.0000
7 Zr 0.5000 0.0000 0.0000
8 Zr 0.5000 0.5000 0.5000
9 Os 0.2500 0.2500 0.7500
10 Os 0.2500 0.7500 0.2500
11 Os 0.7500 0.2500 0.2500
12 Os 0.7500 0.7500 0.7500
13 Pd 0.2500 0.2500 0.2500
14 Pd 0.2500 0.7500 0.7500
15 Pd 0.7500 0.2500 0.7500
16 Pd 0.7500 0.7500 0.2500

(11)
Compound: Pr2OsPd
Source: Alexandria
Functional: GGA-PBE
Structure: relaxed

Summary:
Calculated density (g/cm3): 10.3
Formation energy from the elements (eV per atom): -0.302
Magnetization (μB per cell): 0.00

a = 3.5472 Å, b = 3.5472 Å, c = 7.4068 Å
α = 90.00°, β = 90.00°, γ = 90.00°
Fractional coordinates of all 4 atoms:
1 Pr 0.0000 0.0000 0.2386
2 Pr 0.0000 0.0000 0.7614
3 Os 0.5000 0.5000 0.0000
4 Pd 0.5000 0.5000 0.5000

(12)
Compound: PrPuOsPd
Source: Alexandria
Functional: GGA-PBE
Structure: relaxed

Summary:
Calculated density (g/cm3): 13.0
Formation energy from the elements (eV per atom): -0.169
Magnetization (μB per cell): 18.88

a = 7.0359 Å, b = 7.0359 Å, c = 7.0359 Å
α = 90.00°, β = 90.00°, γ = 90.00°
Fractional coordinates of all 16 atoms:
1 Pr 0.0000 0.0000 0.0000
2 Pr 0.0000 0.5000 0.5000
3 Pr 0.5000 0.0000 0.5000
4 Pr 0.5000 0.5000 0.0000
5 Pu 0.0000 0.0000 0.5000
6 Pu 0.0000 0.5000 0.0000
7 Pu 0.5000 0.0000 0.0000
8 Pu 0.5000 0.5000 0.5000
9 Os 0.2500 0.2500 0.7500
10 Os 0.2500 0.7500 0.2500
11 Os 0.7500 0.2500 0.2500
12 Os 0.7500 0.7500 0.7500
13 Pd 0.2500 0.2500 0.2500
14 Pd 0.2500 0.7500 0.7500
15 Pd 0.7500 0.2500 0.7500
16 Pd 0.7500 0.7500 0.2500

(13)
Compound: TbPrOsPd
Source: Alexandria
Functional: GGA-PBE
Structure: relaxed

Summary:
Calculated density (g/cm3): 11.3
Formation energy from the elements (eV per atom): -0.376
Magnetization (μB per cell): 0.00

a = 7.0582 Å, b = 7.0582 Å, c = 7.0582 Å
α = 90.00°, β = 90.00°, γ = 90.00°
Fractional coordinates of all 16 atoms:
1 Tb 0.0000 0.0000 0.0000
2 Tb 0.0000 0.5000 0.5000
3 Tb 0.5000 0.0000 0.5000
4 Tb 0.5000 0.5000 0.0000
5 Pr 0.0000 0.0000 0.5000
6 Pr 0.0000 0.5000 0.0000
7 Pr 0.5000 0.0000 0.0000
8 Pr 0.5000 0.5000 0.5000
9 Os 0.2500 0.2500 0.2500
10 Os 0.2500 0.7500 0.7500
11 Os 0.7500 0.2500 0.7500
12 Os 0.7500 0.7500 0.2500
13 Pd 0.2500 0.2500 0.7500
14 Pd 0.2500 0.7500 0.2500
15 Pd 0.7500 0.2500 0.2500
16 Pd 0.7500 0.7500 0.7500

(14)
Compound: PrYOsPd
Source: Alexandria
Functional: GGA-PBE
Structure: relaxed

Summary:
Calculated density (g/cm3): 10.0
Formation energy from the elements (eV per atom): -0.375
Magnetization (μB per cell): 0.00

a = 7.0530 Å, b = 7.0530 Å, c = 7.0530 Å
α = 90.00°, β = 90.00°, γ = 90.00°
Fractional coordinates of all 16 atoms:
1 Pr 0.0000 0.0000 0.0000
2 Pr 0.0000 0.5000 0.5000
3 Pr 0.5000 0.0000 0.5000
4 Pr 0.5000 0.5000 0.0000
5 Y 0.0000 0.0000 0.5000
6 Y 0.0000 0.5000 0.0000
7 Y 0.5000 0.0000 0.0000
8 Y 0.5000 0.5000 0.5000
9 Os 0.2500 0.2500 0.7500
10 Os 0.2500 0.7500 0.2500
11 Os 0.7500 0.2500 0.2500
12 Os 0.7500 0.7500 0.7500
13 Pd 0.2500 0.2500 0.2500
14 Pd 0.2500 0.7500 0.7500
15 Pd 0.7500 0.2500 0.7500
16 Pd 0.7500 0.7500 0.2500

(15)
Compound: OsPd2Pt
Source: Alexandria
Functional: GGA-PBE
Structure: relaxed

Summary:
Calculated density (g/cm3): 16.3
Formation energy from the elements (eV per atom): 0.444
Energy above the most stable polymorph in this dataset (eV per atom): 0.000
Magnetization (μB per cell): 0.00

a = 6.2503 Å, b = 6.2503 Å, c = 6.2503 Å
α = 90.00°, β = 90.00°, γ = 90.00°
Fractional coordinates of all 16 atoms:
1 Os 0.0000 0.0000 0.0000
2 Os 0.0000 0.5000 0.5000
3 Os 0.5000 0.0000 0.5000
4 Os 0.5000 0.5000 0.0000
5 Pd 0.2500 0.2500 0.2500
6 Pd 0.2500 0.2500 0.7500
7 Pd 0.2500 0.7500 0.2500
8 Pd 0.2500 0.7500 0.7500
9 Pd 0.7500 0.2500 0.2500
10 Pd 0.7500 0.2500 0.7500
11 Pd 0.7500 0.7500 0.2500
12 Pd 0.7500 0.7500 0.7500
13 Pt 0.0000 0.0000 0.5000
14 Pt 0.0000 0.5000 0.0000
15 Pt 0.5000 0.0000 0.0000
16 Pt 0.5000 0.5000 0.5000

(16)
Compound: OsPdPt5
Source: Alexandria
Functional: GGA-PBE
Structure: relaxed

Summary:
Calculated density (g/cm3): 18.2
Formation energy from the elements (eV per atom): 0.183
Magnetization (μB per cell): 0.45

a = 5.4905 Å, b = 7.6106 Å, c = 5.5514 Å
α = 90.00°, β = 90.00°, γ = 90.00°
Fractional coordinates of all 14 atoms:
1 Os 0.0000 0.0000 0.0000
2 Os 0.5000 0.5000 0.0000
3 Pd 0.0000 0.0000 0.5000
4 Pd 0.5000 0.5000 0.5000
5 Pt 0.0000 0.5000 0.5000
6 Pt 0.2500 0.2500 0.2382
7 Pt 0.2500 0.2500 0.7618
8 Pt 0.2500 0.7500 0.2382
9 Pt 0.2500 0.7500 0.7618
10 Pt 0.5000 0.0000 0.5000
11 Pt 0.7500 0.2500 0.2382
12 Pt 0.7500 0.2500 0.7618
13 Pt 0.7500 0.7500 0.2382
14 Pt 0.7500 0.7500 0.7618

(17)
Compound: OsPdPt
Source: Alexandria
Functional: GGA-PBE
Structure: relaxed

Summary:
Calculated density (g/cm3): 18.2
Formation energy from the elements (eV per atom): 0.109
Energy above the most stable polymorph in this dataset (eV per atom): 0.000
Magnetization (μB per cell): 0.00

a = 2.7677 Å, b = 2.7677 Å, c = 6.7798 Å
α = 90.00°, β = 90.00°, γ = 120.00°
Fractional coordinates of all 3 atoms:
1 Os 0.0000 0.0000 0.0000
2 Pd 0.3333 0.6667 0.6754
3 Pt 0.6667 0.3333 0.3258

(18)
Compound: OsPdPt
Source: Alexandria
Functional: GGA-PBE
Structure: relaxed

Summary:
Calculated density (g/cm3): 18.0
Formation energy from the elements (eV per atom): 0.116
Energy above the most stable polymorph in this dataset (eV per atom): 0.007
Magnetization (μB per cell): 0.00

a = 2.7626 Å, b = 5.3143 Å, c = 6.6375 Å
α = 74.66°, β = 89.98°, γ = 74.99°
Fractional coordinates of all 6 atoms:
1 Os 0.1467 0.2079 0.0261
2 Os 0.8533 0.7921 0.9739
3 Pd 0.1894 0.1186 0.6414
4 Pd 0.8106 0.8814 0.3586
5 Pt 0.4706 0.5608 0.7128
6 Pt 0.5294 0.4392 0.2872

(19)
Compound: Os2Pd2Pt
Source: Alexandria
Functional: GGA-PBE
Structure: relaxed

Summary:
Calculated density (g/cm3): 16.7
Formation energy from the elements (eV per atom): 0.706
Magnetization (μB per cell): 0.00

a = 7.5972 Å, b = 7.5972 Å, c = 2.7187 Å
α = 90.00°, β = 90.00°, γ = 90.00°
Fractional coordinates of all 10 atoms:
1 Os 0.1771 0.3229 0.0000
2 Os 0.3229 0.8229 0.0000
3 Os 0.6771 0.1771 0.0000
4 Os 0.8229 0.6771 0.0000
5 Pd 0.1209 0.6209 0.5000
6 Pd 0.3791 0.1209 0.5000
7 Pd 0.6209 0.8791 0.5000
8 Pd 0.8791 0.3791 0.5000
9 Pt 0.0000 0.0000 0.5000
10 Pt 0.5000 0.5000 0.5000

(20)
Compound: OsPdPt3
Source: Alexandria
Functional: GGA-PBE
Structure: relaxed

Summary:
Calculated density (g/cm3): 13.3
Formation energy from the elements (eV per atom): 1.401
Energy above the most stable polymorph in this dataset (eV per atom): 0.000
Magnetization (μB per cell): 0.00

a = 4.7884 Å, b = 4.7884 Å, c = 4.7884 Å
α = 90.00°, β = 90.00°, γ = 90.00°
Fractional coordinates of all 5 atoms:
1 Os 0.0000 0.0000 0.0000
2 Pd 0.5000 0.5000 0.5000
3 Pt 0.0000 0.0000 0.5000
4 Pt 0.0000 0.5000 0.0000
5 Pt 0.5000 0.0000 0.0000